1.
Tb15Er4Zr: optimized geometry, PBE.

## Properties
Raw total energy in eV per cell: -191.103
Calculated density in g/cm3: 8.414

Lattice parameters (Å, degrees): 7.0724 9.9400 17.6524 90.00 90.00 90.00
Space group Cmmm (No. 65)
One atom of each set of equivalent atoms:
Tb: 0.0000 0.0000 0.0000 (multiplicity 2)
Tb: 0.0000 0.0000 0.1997 (multiplicity 4)
Tb: 0.0000 0.0000 0.3995 (multiplicity 4)
Tb: 0.2500 0.2500 0.0962 (multiplicity 8)
Tb: 0.2500 0.2500 0.2989 (multiplicity 8)
Tb: 0.2500 0.2500 0.5000 (multiplicity 4)
Er: 0.0000 0.5000 0.1945 (multiplicity 4)
Er: 0.0000 0.5000 0.3989 (multiplicity 4)
Zr: 0.0000 0.5000 0.0000 (multiplicity 2)



2.
TbEr2Zr: optimized geometry, PBE.

## Properties
Raw total energy in eV per cell: -21.961
Calculated density in g/cm3: 8.549

Lattice parameters (Å, degrees): 4.8385 4.8385 4.8508 90.00 90.00 90.00
Space group P4/mmm (No. 123)
One atom of each set of equivalent atoms:
Tb: 0.0000 0.0000 0.0000 (multiplicity 1)
Er: 0.0000 0.5000 0.5000 (multiplicity 2)
Zr: 0.5000 0.5000 0.0000 (multiplicity 1)



3.
Tb2ErZr: optimized geometry, PBE.

## Properties
Raw total energy in eV per cell: -21.699
Calculated density in g/cm3: 8.253

Lattice parameters (Å, degrees): 4.0198 4.0198 7.1764 90.00 90.00 90.00
Space group P4/mmm (No. 123)
One atom of each set of equivalent atoms:
Tb: 0.0000 0.0000 0.2272 (multiplicity 2)
Er: 0.5000 0.5000 0.5000 (multiplicity 1)
Zr: 0.5000 0.5000 0.0000 (multiplicity 1)



4.
Tb6Er8Zr: optimized geometry, PBE.

## Properties
Raw total energy in eV per cell: -212.848
Calculated density in g/cm3: 8.462

Lattice parameters (Å, degrees): 8.9490 8.9490 20.2255 90.00 90.00 120.00
Space group R-3 (No. 148, hexagonal axes)
One atom of each set of equivalent atoms:
Tb: 0.0737 0.2527 0.2078 (multiplicity 18)
Er: 0.0000 0.0000 0.0763 (multiplicity 6)
Er: 0.0843 0.5551 0.3059 (multiplicity 18)
Zr: 0.0000 0.0000 0.5000 (multiplicity 3)



5.
Tb4Er5Zr: optimized geometry, PBE.

## Properties
Raw total energy in eV per cell: -49.461
Calculated density in g/cm3: 8.632

Lattice parameters (Å, degrees): 3.4826 7.0055 12.5695 97.94 97.96 90.18
Space group P-1 (No. 2)
One atom of each set of equivalent atoms:
Tb: 0.0957 0.2880 0.1921 (multiplicity 2)
Tb: 0.0958 0.8084 0.1921 (multiplicity 2)
Er: 0.2993 0.8984 0.5984 (multiplicity 2)
Er: 0.3004 0.4012 0.6008 (multiplicity 2)
Er: 0.5000 0.5000 0.0000 (multiplicity 1)
Zr: 0.5000 0.0000 0.0000 (multiplicity 1)



6.
Tb6Er4Zr: optimized geometry, PBE.

## Properties
Raw total energy in eV per cell: -105.734
Calculated density in g/cm3: 8.458

Lattice parameters (Å, degrees): 8.7465 8.7465 8.7966 90.00 90.00 90.00
Space group P4/mnc (No. 128)
One atom of each set of equivalent atoms:
Tb: 0.0000 0.0000 0.1744 (multiplicity 4)
Tb: 0.1497 0.3453 0.5000 (multiplicity 8)
Er: 0.1460 0.6460 0.2500 (multiplicity 8)
Zr: 0.0000 0.0000 0.5000 (multiplicity 2)



7.
Tb2Er8Zr: optimized geometry, PBE.

## Properties
Raw total energy in eV per cell: -104.072
Calculated density in g/cm3: 8.582

Lattice parameters (Å, degrees): 16.4619 6.4388 6.5337 90.00 102.50 90.00
Space group C2/m (No. 12)
One atom of each set of equivalent atoms:
Tb: 0.1858 0.0000 0.3203 (multiplicity 4)
Er: 0.0804 0.2562 0.8893 (multiplicity 8)
Er: 0.0925 0.5000 0.4145 (multiplicity 4)
Er: 0.2451 0.0000 0.8347 (multiplicity 4)
Zr: 0.0000 0.0000 0.5000 (multiplicity 2)



8.
Tb3Er4Zr: optimized geometry, PBE.

## Properties
Raw total energy in eV per cell: -73.962
Calculated density in g/cm3: 8.206

Lattice parameters (Å, degrees): 11.5843 13.0133 3.3211 90.00 90.00 90.00
Space group Cmmm (No. 65)
One atom of each set of equivalent atoms:
Tb: 0.0000 0.0000 0.0000 (multiplicity 2)
Tb: 0.2500 0.2500 0.5000 (multiplicity 4)
Er: 0.0000 0.2630 0.0000 (multiplicity 4)
Er: 0.2293 0.5000 0.5000 (multiplicity 4)
Zr: 0.0000 0.5000 0.0000 (multiplicity 2)



9.
Tb8Er2Zr: optimized geometry, PBE.

## Properties
Raw total energy in eV per cell: -104.758
Calculated density in g/cm3: 8.172

Lattice parameters (Å, degrees): 16.5310 6.5231 6.5433 90.00 102.17 90.00
Space group C2/m (No. 12)
One atom of each set of equivalent atoms:
Tb: 0.0802 0.2443 0.3865 (multiplicity 8)
Tb: 0.0949 0.0000 0.9154 (multiplicity 4)
Tb: 0.2468 0.5000 0.3390 (multiplicity 4)
Er: 0.1841 0.5000 0.8206 (multiplicity 4)
Zr: 0.0000 0.5000 0.0000 (multiplicity 2)



10.
TbEr4Zr: optimized geometry, PBE.

## Properties
Raw total energy in eV per cell: -31.098
Calculated density in g/cm3: 8.713

Lattice parameters (Å, degrees): 3.4510 6.9667 7.6868 103.06 102.92 90.17
Space group P-1 (No. 2)
One atom of each set of equivalent atoms:
Tb: 0.0000 0.0000 0.0000 (multiplicity 1)
Er: 0.3377 0.1795 0.6762 (multiplicity 2)
Er: 0.3399 0.6598 0.6793 (multiplicity 2)
Zr: 0.0000 0.5000 0.0000 (multiplicity 1)



11.
Tb5Er4Zr2: optimized geometry, PBE.

## Properties
Raw total energy in eV per cell: -57.351
Calculated density in g/cm3: 8.228

Lattice parameters (Å, degrees): 8.6192 3.4380 11.2321 90.00 93.48 90.00
Space group P2/m (No. 10)
One atom of each set of equivalent atoms:
Tb: 0.0000 0.0000 0.0000 (multiplicity 1)
Tb: 0.0776 0.0000 0.2982 (multiplicity 2)
Tb: 0.3107 0.0000 0.8334 (multiplicity 2)
Er: 0.2317 0.5000 0.5523 (multiplicity 2)
Er: 0.3410 0.5000 0.1202 (multiplicity 2)
Zr: 0.4467 0.0000 0.3691 (multiplicity 2)



12.
Tb7Er4Zr: optimized geometry, PBE.

## Properties
Raw total energy in eV per cell: -58.903
Calculated density in g/cm3: 8.468

Lattice parameters (Å, degrees): 6.1219 7.0901 8.7092 89.95 76.29 89.90
Space group P-1 (No. 2)
One atom of each set of equivalent atoms:
Tb: 0.0000 0.0000 0.0000 (multiplicity 1)
Tb: 0.2248 0.0004 0.3370 (multiplicity 2)
Tb: 0.2750 0.2557 0.6715 (multiplicity 2)
Tb: 0.5003 0.2583 0.0003 (multiplicity 2)
Er: 0.2153 0.5002 0.3276 (multiplicity 2)
Er: 0.2743 0.7437 0.6723 (multiplicity 2)
Zr: 0.0000 0.5000 0.0000 (multiplicity 1)



13.
TbEr2Zr: optimized geometry, PBE.

## Properties
Raw total energy in eV per cell: -66.035
Calculated density in g/cm3: 8.498

Lattice parameters (Å, degrees): 3.4239 3.4239 33.7576 90.00 90.00 120.00
Space group R-3m (No. 166, hexagonal axes)
One atom of each set of equivalent atoms:
Tb: 0.0000 0.0000 0.0000 (multiplicity 3)
Er: 0.0000 0.0000 0.2449 (multiplicity 6)
Zr: 0.0000 0.0000 0.5000 (multiplicity 3)



14.
Tb8Er3Zr: optimized geometry, PBE.

## Properties
Raw total energy in eV per cell: -117.618
Calculated density in g/cm3: 8.430

Lattice parameters (Å, degrees): 9.9736 9.9214 7.8350 90.00 108.67 90.00
Space group C2/m (No. 12)
One atom of each set of equivalent atoms:
Tb: 0.0815 0.2450 0.3268 (multiplicity 8)
Tb: 0.1640 0.0000 0.6765 (multiplicity 4)
Tb: 0.1734 0.5000 0.6726 (multiplicity 4)
Er: 0.0000 0.5000 0.0000 (multiplicity 2)
Er: 0.2500 0.2500 0.0000 (multiplicity 4)
Zr: 0.0000 0.0000 0.0000 (multiplicity 2)



15.
Tb6Er12Zr: optimized geometry, PBE.

## Properties
Raw total energy in eV per cell: -263.114
Calculated density in g/cm3: 8.487

Lattice parameters (Å, degrees): 12.1353 12.1353 14.0467 90.00 90.00 120.00
Space group R-3 (No. 148, hexagonal axes)
One atom of each set of equivalent atoms:
Tb: 0.0275 0.5906 0.2098 (multiplicity 18)
Er: 0.0400 0.8615 0.3126 (multiplicity 18)
Er: 0.0660 0.1966 0.9059 (multiplicity 18)
Zr: 0.0000 0.0000 0.5000 (multiplicity 3)



16.
Tb12Er6Zr: optimized geometry, PBE.

## Properties
Raw total energy in eV per cell: -272.661
Calculated density in g/cm3: 8.509

Lattice parameters (Å, degrees): 15.3397 15.3397 8.6241 90.00 90.00 120.00
Space group R-3 (No. 148, hexagonal axes)
One atom of each set of equivalent atoms:
Tb: 0.0355 0.2813 0.3357 (multiplicity 18)
Tb: 0.0750 0.5636 0.6668 (multiplicity 18)
Er: 0.0171 0.1371 0.6717 (multiplicity 18)
Zr: 0.0000 0.0000 0.0000 (multiplicity 3)



17.
Tb14ErZr: optimized geometry, PBE.

## Properties
Raw total energy in eV per cell: -77.367
Calculated density in g/cm3: 8.284

Lattice parameters (Å, degrees): 7.0665 7.0665 9.9685 90.00 90.00 90.00
Space group P4/mmm (No. 123)
One atom of each set of equivalent atoms:
Tb: 0.0000 0.0000 0.0000 (multiplicity 1)
Tb: 0.0000 0.5000 0.0000 (multiplicity 2)
Tb: 0.0000 0.5000 0.5000 (multiplicity 2)
Tb: 0.2453 0.2453 0.2555 (multiplicity 8)
Tb: 0.5000 0.5000 0.0000 (multiplicity 1)
Er: 0.5000 0.5000 0.5000 (multiplicity 1)
Zr: 0.0000 0.0000 0.5000 (multiplicity 1)



18.
Tb4Er5Zr: optimized geometry, PBE.

## Properties
Raw total energy in eV per cell: -94.830
Calculated density in g/cm3: 8.229

Lattice parameters (Å, degrees): 10.3898 10.3898 5.8443 90.00 90.00 90.00
Space group I4mm (No. 107)
One atom of each set of equivalent atoms:
Tb: 0.0000 0.3210 0.0000 (multiplicity 8)
Er: 0.0000 0.0000 0.2380 (multiplicity 2)
Er: 0.1846 0.1846 0.5310 (multiplicity 8)
Zr: 0.0000 0.0000 0.7738 (multiplicity 2)



19.
Tb2ErZr: optimized geometry, PBE.

## Properties
Raw total energy in eV per cell: -66.151
Calculated density in g/cm3: 8.259

Lattice parameters (Å, degrees): 3.4604 3.4604 33.5188 90.00 90.00 120.00
Space group R3m (No. 160, hexagonal axes)
One atom of each set of equivalent atoms:
Tb: 0.0000 0.0000 0.0000 (multiplicity 3)
Tb: 0.0000 0.0000 0.1751 (multiplicity 3)
Er: 0.0000 0.0000 0.7543 (multiplicity 3)
Zr: 0.0000 0.0000 0.5875 (multiplicity 3)



20.
Tb3Er4Zr: optimized geometry, PBE.

## Properties
Raw total energy in eV per cell: -39.917
Calculated density in g/cm3: 8.534

Lattice parameters (Å, degrees): 3.4749 6.6674 11.1086 75.61 87.01 74.95
Space group P-1 (No. 2)
One atom of each set of equivalent atoms:
Tb: 0.0000 0.0000 0.0000 (multiplicity 1)
Tb: 0.4539 0.1333 0.2585 (multiplicity 2)
Er: 0.1358 0.7430 0.4804 (multiplicity 2)
Er: 0.2343 0.3922 0.7674 (multiplicity 2)
Zr: 0.5000 0.5000 0.0000 (multiplicity 1)